# 1
SrLaAgPd | PBE | optimized geometry

a = 5.336 Å, b = 5.336 Å, c = 5.336 Å
α = 60.00°, β = 60.00°, γ = 60.00°
Positions (direct):
Sr: 0.000 0.000 0.000
La: 0.500 0.500 0.500
Ag: 0.250 0.250 0.250
Pd: 0.750 0.750 0.750

Summary:
ΔE to the lowest computed polymorph   52 meV per atom
SG   F-43m (216)
ΔH_f (0 K)   -442 meV per atom
DFT total energy   -16.42 eV for the cell shown

# 2
PuGa5Pt7 | PBE | optimized geometry

a = 6.809 Å, b = 6.809 Å, c = 5.432 Å
α = 112.34°, β = 112.34°, γ = 83.89°
Positions (direct):
Pu: 0.000 0.000 0.000
Ga: 0.003 0.481 0.987
Ga: 0.479 0.992 0.490
Ga: 0.481 0.003 0.987
Ga: 0.771 0.771 0.287
Ga: 0.992 0.479 0.490
Pt: 0.185 0.770 0.479
Pt: 0.221 0.221 0.711
Pt: 0.338 0.338 0.324
Pt: 0.345 0.668 0.006
Pt: 0.668 0.345 0.006
Pt: 0.670 0.670 0.714
Pt: 0.770 0.185 0.479

Summary:
SG   Cm (8)
ΔH_f (0 K)   -558 meV per atom
DFT total energy   -79.01 eV for the cell shown

# 3
BaZrMo | PBE | optimized geometry

a = 7.038 Å, b = 7.038 Å, c = 7.038 Å
α = 150.59°, β = 150.59°, γ = 42.08°
Positions (direct):
Ba: 0.000 0.000 0.000
Zr: 0.274 0.274 0.000
Mo: 0.688 0.688 0.000

Summary:
ΔE to the lowest computed polymorph   0 meV per atom
SG   I4mm (107)
ΔH_f (0 K)   616 meV per atom
DFT total energy   -19.46 eV for the cell shown

# 4
Re2PCl | PBE | optimized geometry

a = 6.317 Å, b = 6.317 Å, c = 6.317 Å
α = 129.20°, β = 129.20°, γ = 74.68°
Positions (direct):
Re: 0.125 0.625 0.000
Re: 0.375 0.375 0.500
Re: 0.625 0.125 0.000
Re: 0.875 0.875 0.500
P: 0.000 0.000 0.000
P: 0.750 0.250 0.500
Cl: 0.250 0.750 0.500
Cl: 0.500 0.500 0.000

Summary:
Uncorrected formation energy   358 kJ/mol of formula units
ΔE to the lowest computed polymorph   903 meV per atom
SG   I-42d (122)
DFT total energy   -56.88 eV for the cell shown

# 5
B5Ir3W2 | PBE | optimized geometry

a = 8.381 Å, b = 8.381 Å, c = 8.381 Å
α = 160.09°, β = 38.65°, γ = 147.21°
Positions (direct):
B: 0.000 0.000 0.000
B: 0.267 0.545 0.722
B: 0.425 0.146 0.279
B: 0.824 0.545 0.278
B: 0.867 0.146 0.721
Ir: 0.344 0.844 0.500
Ir: 0.751 0.345 0.405
Ir: 0.940 0.345 0.595
W: 0.194 0.345 0.848
W: 0.497 0.345 0.152

Summary:
SG   Imm2 (44)
ΔH_f (0 K)   -358 meV per atom
DFT total energy   -89.45 eV for the cell shown

# 6
Pm3DyNi2 | PBE | optimized geometry

a = 8.448 Å, b = 8.448 Å, c = 11.615 Å
α = 122.78°, β = 122.78°, γ = 26.98°
Positions (direct):
Pm: 0.081 0.081 0.443
Pm: 0.082 0.082 0.938
Pm: 0.346 0.346 0.752
Pm: 0.654 0.654 0.248
Pm: 0.918 0.918 0.062
Pm: 0.919 0.919 0.557
Dy: 0.342 0.342 0.249
Dy: 0.658 0.658 0.751
Ni: 0.267 0.267 0.950
Ni: 0.268 0.268 0.448
Ni: 0.732 0.732 0.552
Ni: 0.733 0.733 0.050

Summary:
SG   C2/m (12)
ΔH_f (0 K)   -243 meV per atom
DFT total energy   -63.75 eV for the cell shown

# 7
YAl2Fe6 | PBE | optimized geometry

a = 6.734 Å, b = 6.734 Å, c = 6.734 Å
α = 144.04°, β = 132.18°, γ = 61.26°
Positions (direct):
Y: 0.000 0.000 0.000
Al: 0.384 0.884 0.500
Al: 0.616 0.116 0.500
Fe: 0.048 0.303 0.746
Fe: 0.312 0.500 0.812
Fe: 0.443 0.697 0.746
Fe: 0.557 0.303 0.254
Fe: 0.688 0.500 0.188
Fe: 0.952 0.697 0.254

Summary:
SG   Immm (71)
ΔH_f (0 K)   109 meV per atom
DFT total energy   -63.75 eV for the cell shown

# 8
CsNaCd2 | PBE | optimized geometry

a = 5.216 Å, b = 8.868 Å, c = 7.783 Å
α = 90.00°, β = 109.53°, γ = 90.00°
Positions (direct):
Cs: 0.064 0.250 0.128
Cs: 0.936 0.750 0.872
Na: 0.339 0.250 0.679
Na: 0.661 0.750 0.321
Cd: 0.246 0.583 0.492
Cd: 0.246 0.917 0.492
Cd: 0.754 0.083 0.508
Cd: 0.754 0.417 0.508

Summary:
ΔE to the lowest computed polymorph   8 meV per atom
SG   P2_1/m (11)
ΔH_f (0 K)   -60 meV per atom
DFT total energy   -8.49 eV for the cell shown